No. 1
Compound: Nd2ErZn2
Source: Alexandria
Functional: PBE-GGA
Structure: relaxed

Distance to the lowest polymorph of the same formula (eV/f.u.): 0.802
Calculated formation energy (meV/atom): -38.0

abc: 7.6862 11.7483 6.1043
angles: 90.00 90.00 90.00
With the nearest neighbours (Å) after each atom.
Space group Ibam (No. 72)
Unique sites:
Nd 0.1551 0.2013 0.0000 (multiplicity 8)  3 Zn 3.02-3.13
Er 0.0000 0.5000 0.2500 (multiplicity 4)  4 Zn 3.03, 2 Er 3.05
Zn 0.1712 0.0576 0.5000 (multiplicity 8)  1 Zn 2.96, 3 Nd 3.02-3.13, 2 Er 3.03


No. 2
Compound: RhC2F
Source: Alexandria
Functional: PBE-GGA
Structure: relaxed

Energy relative to the elements, uncorrected (eV per atom): 1.99
Distance to the lowest polymorph of the same formula (eV/f.u.): 2.907

abc: 5.3243 5.3243 5.3243
angles: 90.00 90.00 90.00
With the nearest neighbours (Å) after each atom.
Space group Fm-3m (No. 225)
Unique sites:
Rh 0.0000 0.0000 0.0000 (multiplicity 4)  8 C 2.31
C 0.2500 0.2500 0.2500 (multiplicity 8)  4 F 2.31, 4 Rh 2.31
F 0.0000 0.0000 0.5000 (multiplicity 4)  8 C 2.31


no.,calculated density (g cm⁻³)
1,7.1
2,6.4